A plane-wave DFT calculation with GGA-PBE was carried out for a relaxed Ce3Ga4Au7 crystal.

```
Ce3Ga4Au7
1.0
-1.876 -1.129 3.927
0.737 -8.522 0.477
6.534 -2.502 4.977
Ce Ga Au
3 4 7
Direct
0.311 0.192 0.187
0.689 0.808 0.813
0.000 0.500 0.500
0.672 0.465 0.191
0.328 0.535 0.809
0.867 0.915 0.350
0.133 0.085 0.650
0.326 0.807 0.542
0.499 0.215 0.788
0.860 0.372 0.908
0.674 0.193 0.458
0.140 0.628 0.092
0.000 0.000 0.000
0.501 0.785 0.212
```

Energy of formation: -585 meV per atom
Fermi-level density of states: 1.50 states/eV per atom